#i
## Tl2FeCl5 (PBE)

Data for Tl2FeCl5 after structural relaxation.

a b c (Å): 9.863 9.408 12.835
angles (deg): 90.00 107.38 90.00
Positions (direct):
Fe 0.979 0.923 0.703
Cl 0.551 0.131 0.886
Fe 0.479 0.577 0.703
Cl 0.051 0.369 0.886
Cl 0.003 0.119 0.124
Cl 0.997 0.881 0.876
Cl 0.016 0.275 0.386
Fe 0.521 0.423 0.297
Cl 0.286 0.450 0.623
Cl 0.516 0.225 0.386
Cl 0.786 0.050 0.623
Tl 0.463 0.136 0.647
Cl 0.161 0.064 0.701
Cl 0.503 0.381 0.124
Cl 0.839 0.936 0.299
Cl 0.497 0.619 0.876
Cl 0.714 0.550 0.377
Cl 0.339 0.564 0.299
Cl 0.984 0.725 0.614
Fe 0.021 0.077 0.297
Tl 0.294 0.125 0.975
Cl 0.484 0.775 0.614
Cl 0.449 0.869 0.114
Tl 0.794 0.375 0.975
Tl 0.537 0.864 0.353
Tl 0.706 0.875 0.025
Tl 0.206 0.625 0.025
Tl 0.963 0.364 0.647
Cl 0.949 0.631 0.114
Cl 0.214 0.950 0.377
Tl 0.037 0.636 0.353
Cl 0.661 0.436 0.701

Summary:
Total magnetic moment (μB per atom): 0.624

#ii
## Tl2FeCl5 (PBE)

Data for Tl2FeCl5 after structural relaxation.

a b c (Å): 7.045 7.045 7.045
angles (deg): 96.45 116.35 116.35
Positions (direct):
Fe 0.000 0.026 0.026
Cl 0.000 0.260 0.260
Cl 0.000 0.190 0.751
Tl 0.500 0.277 0.777
Cl 0.561 0.751 0.751
Tl 0.500 0.777 0.277
Cl 0.000 0.751 0.190
Cl 0.439 0.190 0.190

Summary:
Total magnetic moment (μB per atom): 0.625

#i is favored, and the nearest alternative lies 3.4 kJ/mol of atoms above it.

#i
## VFe2Cl (PBE)

Data for VFe2Cl after structural relaxation.

a b c (Å): 4.226 4.226 4.226
angles (deg): 60.00 60.00 60.00
Positions (direct):
Cl 0.000 0.000 0.000
Fe 0.750 0.750 0.750
V 0.500 0.500 0.500
Fe 0.250 0.250 0.250

Summary:
Total magnetic moment (μB per atom): 0.403

#ii
## VFe2Cl (PBE)

Data for VFe2Cl after structural relaxation.

a b c (Å): 6.819 6.819 5.413
angles (deg): 50.96 50.96 90.00
Positions (direct):
Cl 0.250 0.750 0.500
Fe 0.875 0.855 0.750
Cl 0.500 0.500 0.000
V 0.000 0.000 0.000
Fe 0.605 0.125 0.250
Fe 0.145 0.625 0.250
Fe 0.375 0.395 0.750
V 0.750 0.250 0.500

Summary:
Total magnetic moment (μB per atom): 0.886

#ii is favored, and the nearest alternative lies 16.6 kJ/mol of atoms above it.

#i
## FeW2Cl (PBE)

Data for FeW2Cl after structural relaxation.

a b c (Å): 2.903 4.676 4.557
angles (deg): 90.00 90.00 90.00
Positions (direct):
W 0.500 0.500 0.000
W 0.000 0.000 0.000
Fe 0.000 0.500 0.500
Cl 0.500 0.000 0.500

Summary:
Total magnetic moment (μB per atom): 0.571

#ii
## FeW2Cl (PBE)

Data for FeW2Cl after structural relaxation.

a b c (Å): 5.324 5.324 5.324
angles (deg): 148.16 129.39 61.05
Positions (direct):
W 0.982 0.982 0.000
Fe 0.250 0.750 0.500
W 0.518 0.518 0.000
Cl 0.750 0.250 0.500

Summary:
Total magnetic moment (μB per atom): 0.565

#iii
## FeW2Cl (PBE)

Data for FeW2Cl after structural relaxation.

a b c (Å): 4.510 3.751 3.751
angles (deg): 90.00 90.00 90.00
Positions (direct):
W 0.000 0.500 0.500
Cl 0.500 0.500 0.000
Fe 0.500 0.000 0.500
W 0.000 0.000 0.000

Summary:
Total magnetic moment (μB per atom): 0.659

#ii is favored, and the nearest alternative lies 8.8 kJ/mol of atoms above it.

#i
## FeW2Cl (PBE)

Data for FeW2Cl after structural relaxation.

a b c (Å): 8.609 8.609 8.609
angles (deg): 18.95 18.95 18.95
Positions (direct):
Fe 0.750 0.750 0.750
Cl 0.250 0.250 0.250
W 0.002 0.002 0.002
W 0.498 0.498 0.498

Summary:
Total magnetic moment (μB per atom): 0.159

#ii
## FeW2Cl (PBE)

Data for FeW2Cl after structural relaxation.

a b c (Å): 8.649 8.649 8.649
angles (deg): 19.36 19.36 19.36
Positions (direct):
W 0.006 0.006 0.006
Fe 0.745 0.745 0.745
W 0.246 0.246 0.246
Cl 0.503 0.503 0.503

Summary:
Total magnetic moment (μB per atom): 0.430

#iii
## FeW2Cl (PBE)

Data for FeW2Cl after structural relaxation.

a b c (Å): 3.014 3.153 7.155
angles (deg): 89.96 90.00 90.00
Positions (direct):
Fe 0.500 0.501 0.798
W 0.500 0.500 0.211
Cl 0.000 0.498 0.499
W 0.000 0.001 0.991

Summary:
Total magnetic moment (μB per atom): 0.529

#iii is favored, and the nearest alternative lies 3.3 kJ/mol of atoms above it.

#i
## FeW2Cl (PBE)

Data for FeW2Cl after structural relaxation.

a b c (Å): 2.870 2.870 8.306
angles (deg): 90.00 90.00 90.00
Positions (direct):
W 0.000 0.000 0.997
Fe 0.500 0.500 0.814
Cl 0.000 0.000 0.448
W 0.500 0.500 0.241

Summary:
Total magnetic moment (μB per atom): 0.341

#ii
## FeW2Cl (PBE)

Data for FeW2Cl after structural relaxation.

a b c (Å): 4.584 4.584 5.129
angles (deg): 78.05 78.05 35.58
Positions (direct):
Cl 0.250 0.250 0.250
W 0.496 0.496 0.520
Fe 0.750 0.750 0.750
W 0.004 0.004 0.980

Summary:
Total magnetic moment (μB per atom): 0.446

#i is favored, and the nearest alternative lies 27.0 kJ/mol of atoms above it.

#i
## FeW2Cl (PBE)

Data for FeW2Cl after structural relaxation.

a b c (Å): 4.306 4.306 4.306
angles (deg): 60.00 60.00 60.00
Positions (direct):
W 0.250 0.250 0.250
Cl 0.000 0.000 0.000
W 0.750 0.750 0.750
Fe 0.500 0.500 0.500

Summary:
Total magnetic moment (μB per atom): 0.001

#ii
## FeW2Cl (PBE)

Data for FeW2Cl after structural relaxation.

a b c (Å): 4.914 4.914 2.761
angles (deg): 90.00 90.00 114.64
Positions (direct):
Cl 0.500 0.000 0.500
Fe 0.000 0.500 0.500
W 0.000 0.000 0.000
W 0.500 0.500 0.000

Summary:
Total magnetic moment (μB per atom): 0.501

#iii
## FeW2Cl (PBE)

Data for FeW2Cl after structural relaxation.

a b c (Å): 2.785 2.785 8.786
angles (deg): 90.00 90.00 115.47
Positions (direct):
W 0.000 0.000 0.988
Cl 0.500 0.500 0.250
Fe 0.500 0.500 0.750
W 0.000 0.000 0.512

Summary:
Total magnetic moment (μB per atom): 0.459

#iii is favored, and the nearest alternative lies 28.4 kJ/mol of atoms above it.

#i
## FeWCl2 (PBE)

Data for FeWCl2 after structural relaxation.

a b c (Å): 2.824 5.561 4.222
angles (deg): 90.00 90.00 90.00
Positions (direct):
W 0.000 0.500 0.500
Fe 0.500 0.000 0.500
Cl 0.500 0.500 0.000
Cl 0.000 0.000 0.000

Summary:
Total magnetic moment (μB per atom): 0.923

#ii
## FeWCl2 (PBE)

Data for FeWCl2 after structural relaxation.

a b c (Å): 4.252 4.252 4.252
angles (deg): 60.00 60.00 60.00
Positions (direct):
Cl 0.750 0.750 0.750
Cl 0.250 0.250 0.250
Fe 0.000 0.000 0.000
W 0.500 0.500 0.500

Summary:
Total magnetic moment (μB per atom): 0.000

#i is favored, and the nearest alternative lies 37.0 kJ/mol of atoms above it.

#i
## FeWCl2 (PBE)

Data for FeWCl2 after structural relaxation.

a b c (Å): 3.105 3.105 9.773
angles (deg): 90.00 90.00 125.16
Positions (direct):
Fe 0.500 0.500 0.250
W 0.500 0.500 0.750
Cl 0.000 0.000 0.954
Cl 0.000 0.000 0.546

Summary:
Total magnetic moment (μB per atom): 1.058

#ii
## FeWCl2 (PBE)

Data for FeWCl2 after structural relaxation.

a b c (Å): 5.426 5.426 6.219
angles (deg): 64.14 64.14 90.00
Positions (direct):
Cl 0.600 0.125 0.250
Fe 0.250 0.750 0.500
Cl 0.875 0.850 0.750
Fe 0.500 0.500 0.000
Cl 0.150 0.625 0.250
Cl 0.375 0.400 0.750
W 0.000 0.000 0.000
W 0.750 0.250 0.500

Summary:
Total magnetic moment (μB per atom): 0.230

#iii
## FeWCl2 (PBE)

Data for FeWCl2 after structural relaxation.

a b c (Å): 7.389 7.389 4.320
angles (deg): 80.08 80.08 23.09
Positions (direct):
W 0.750 0.750 0.750
Cl 0.387 0.387 0.572
Fe 0.250 0.250 0.250
Cl 0.113 0.113 0.928

Summary:
Total magnetic moment (μB per atom): 0.547

#iii is favored, and the nearest alternative lies 41.8 kJ/mol of atoms above it.

#i
## FeWCl (PBE)

Data for FeWCl after structural relaxation.

a b c (Å): 6.703 6.414 2.915
angles (deg): 82.78 71.66 25.56
Positions (direct):
W 0.676 0.676 0.324
Fe 0.327 0.327 0.673
Cl 0.997 0.997 0.003

Summary:
Total magnetic moment (μB per atom): 0.789

#ii
## FeWCl (PBE)

Data for FeWCl after structural relaxation.

a b c (Å): 4.137 4.137 4.137
angles (deg): 60.00 60.00 60.00
Positions (direct):
Fe 0.500 0.500 0.500
Cl 0.000 0.000 0.000
W 0.750 0.750 0.750

Summary:
Total magnetic moment (μB per atom): 0.318

#i is favored, and the nearest alternative lies 60.6 kJ/mol of atoms above it.

#i
## FeWCl (PBE)

Data for FeWCl after structural relaxation.

a b c (Å): 4.089 4.089 4.089
angles (deg): 60.00 60.00 60.00
Positions (direct):
Fe 0.750 0.750 0.750
W 0.000 0.000 0.000
Cl 0.500 0.500 0.500

Summary:
Total magnetic moment (μB per atom): 0.000

#ii
## FeWCl (PBE)

Data for FeWCl after structural relaxation.

a b c (Å): 3.007 3.007 6.028
angles (deg): 90.00 90.00 120.00
Positions (direct):
Cl 0.000 0.000 0.989
W 0.333 0.667 0.650
Fe 0.667 0.333 0.361

Summary:
Total magnetic moment (μB per atom): 0.708

#iii
## FeWCl (PBE)

Data for FeWCl after structural relaxation.

a b c (Å): 5.916 5.916 5.916
angles (deg): 151.88 151.88 40.19
Positions (direct):
Fe 0.308 0.308 0.000
Cl 0.013 0.013 0.000
W 0.678 0.678 0.000

Summary:
Total magnetic moment (μB per atom): 0.000

#ii is favored, and the nearest alternative lies 12.3 kJ/mol of atoms above it.

#i
## Fe3WCl (PBE)

Data for Fe3WCl after structural relaxation.

a b c (Å): 4.042 4.042 4.042
angles (deg): 90.00 90.00 90.00
Positions (direct):
Fe 0.000 0.000 0.500
Fe 0.000 0.500 0.000
Cl 0.000 0.000 0.000
W 0.500 0.500 0.500
Fe 0.500 0.000 0.000

Summary:
Total magnetic moment (μB per atom): 0.000

#ii
## Fe3WCl (PBE)

Data for Fe3WCl after structural relaxation.

a b c (Å): 4.594 4.594 4.594
angles (deg): 90.00 90.00 90.00
Positions (direct):
Fe 0.500 0.000 0.000
W 0.000 0.000 0.000
Fe 0.000 0.500 0.000
Fe 0.000 0.000 0.500
Cl 0.500 0.500 0.500

Summary:
Total magnetic moment (μB per atom): 0.994

#i is favored, and the nearest alternative lies 38.3 kJ/mol of atoms above it.